(1)
Entry from Alexandria: an optimized crystal structure of Pm5Tl2Ni (GGA-PBE).

Calculated values
Spin magnetization: 0.00 μB per cell
Formation energy from the elements: -0.132 eV per atom
Uncorrected energy: -4.416 eV/atom
Relative energy among the computed polymorphs: 145 meV per atom

Geometry as POSCAR:
```
Pm5Tl2Ni
1.0
7.131 0.000 0.000
0.000 7.131 0.000
-3.565 -3.565 4.541
Pm Tl Ni
5 2 1
direct
0.743 0.743 0.487 Pm
0.234 0.734 0.968 Pm
0.233 0.233 0.966 Pm
0.733 0.733 0.966 Pm
0.734 0.234 0.968 Pm
0.233 0.733 0.466 Tl
0.733 0.233 0.466 Tl
0.133 0.133 0.266 Ni
```



(2)
Entry from Alexandria: an optimized crystal structure of NpIrI (GGA-PBE).

Calculated values
Spin magnetization: 7.01 μB per cell
Uncorrected energy: -8.080 eV/atom
Energy relative to the elements, uncorrected: -0.30 eV/atom

Geometry as POSCAR:
```
NpIrI
1.0
-3.179 2.504 0.254
-0.113 -0.550 4.010
7.421 9.271 1.481
Np I Ir
2 2 2
direct
0.000 0.500 0.344 Np
0.500 0.000 0.656 Np
0.000 0.000 0.853 I
0.500 0.500 0.147 I
0.000 0.000 0.499 Ir
0.500 0.500 0.501 Ir
```



(3)
Entry from Alexandria: an optimized crystal structure of ScZn10Co2 (GGA-PBE).

Calculated values
Spin magnetization: 0.00 μB per cell
Formation energy from the elements: -0.144 eV per atom
Uncorrected energy: -2.704 eV/atom

Geometry as POSCAR:
```
ScZn10Co2
1.0
-5.679 -3.456 0.778
2.503 -0.455 6.192
-4.095 7.222 2.186
Zn Co Sc
20 4 2
direct
0.230 0.230 0.500 Zn
0.793 0.528 0.250 Zn
0.857 0.594 0.750 Zn
0.859 0.141 0.406 Zn
0.472 0.207 0.250 Zn
0.370 0.630 0.463 Zn
0.141 0.859 0.906 Zn
0.770 0.770 0.000 Zn
0.859 0.141 0.094 Zn
0.594 0.857 0.250 Zn
0.207 0.472 0.750 Zn
0.528 0.793 0.750 Zn
0.230 0.230 0.000 Zn
0.406 0.143 0.750 Zn
0.370 0.630 0.037 Zn
0.630 0.370 0.963 Zn
0.143 0.406 0.250 Zn
0.141 0.859 0.594 Zn
0.770 0.770 0.500 Zn
0.630 0.370 0.537 Zn
0.500 0.000 0.000 Co
0.000 0.500 0.000 Co
0.500 0.000 0.500 Co
0.000 0.500 0.500 Co
0.136 0.864 0.250 Sc
0.864 0.136 0.750 Sc
```



(4)
Entry from Alexandria: an optimized crystal structure of TcAsAu2 (GGA-PBE).

Calculated values
Spin magnetization: 0.83 μB per cell
Formation energy from the elements: 0.315 eV per atom
Uncorrected energy: -5.077 eV/atom

Geometry as POSCAR:
```
TcAsAu2
1.0
-4.910 -2.052 3.401
-3.819 -5.000 -0.553
5.750 2.570 0.458
As Au Tc
1 2 1
direct
0.250 0.750 0.500 As
0.446 0.446 0.000 Au
0.054 0.054 0.000 Au
0.750 0.250 0.500 Tc
```